A plane-wave DFT calculation with PBE was carried out for a relaxed Cs2YAs2 crystal.

- E_tot (eV/atom) = -3.905
- V (Å³ per atom) = 35.6
- DFT formation energy (eV/atom) = -0.411
- N(E_F) (states/eV/cell) = 2.371

```
data_Cs2YAs2
_chemical_formula_sum 'Cs4 Y2 As4'
_cell_length_a 7.519
_cell_length_b 7.519
_cell_length_c 6.298
_cell_angle_alpha 90.00
_cell_angle_beta 90.00
_cell_angle_gamma 90.00
_space_group_name_H-M_alt 'P 4/m b m'
_space_group_IT_number 127
_space_group_name_Hall '-P 4 2ab'
loop_
_atom_site_label
_atom_site_type_symbol
_atom_site_fract_x
_atom_site_fract_y
_atom_site_fract_z
Cs1 Cs 0.173 0.327 0.000
Y1 Y 0.000 0.000 0.500
As1 As 0.120 0.620 0.500
```